Entry 1:
First-principles (PBE-GGA) data for a relaxed HfPt2Au crystal, as listed in Alexandria.

Its total energy is -7.198 eV/atom. As for the space group: Pmmn (59). The formation energy comes out at -0.870 eV per atom. The mass density comes out at 18631 kg/m3.

abc: 4.7473 5.7454 5.0038
angles: 90.00 90.00 90.00
Positions (direct):
Hf 0.2500 0.2500 0.1705
Hf 0.7500 0.7500 0.8295
Pt 0.2500 0.0002 0.6731
Pt 0.2500 0.4998 0.6731
Pt 0.7500 0.9998 0.3269
Pt 0.7500 0.5002 0.3269
Au 0.2500 0.7500 0.1725
Au 0.7500 0.2500 0.8275

Entry 2:
First-principles (PBE-GGA) data for a relaxed HfPt8Au2 crystal, as listed in Alexandria.

Its total energy is -6.101 eV/atom. As for the space group: Cmmm (65). The formation energy comes out at -0.207 eV per atom. The mass density comes out at 18294 kg/m3.

abc: 7.2079 7.2079 3.9486
angles: 90.00 90.00 109.30
Positions (direct):
Hf 0.0000 0.0000 0.0000
Pt 0.0450 0.2988 0.5000
Pt 0.2294 0.7706 0.0000
Pt 0.2988 0.0450 0.5000
Pt 0.3263 0.3263 0.0000
Pt 0.6737 0.6737 0.0000
Pt 0.7012 0.9550 0.5000
Pt 0.7706 0.2294 0.0000
Pt 0.9550 0.7012 0.5000
Au 0.3784 0.6216 0.5000
Au 0.6216 0.3784 0.5000

| no. | magnetization (μB/f.u.) |
| --- | --- |
| 1 | 0.00 |
| 2 | 0.00 |